{"formula": "Sr2ZnCl", "functional": "PBE", "state": "optimized geometry", "vol_a3_per_cell": 290.3, "final_energy_ev_per_atom": -2.403, "space_group": "I-42d, No. 122", "formation_energy_uncorrected_ev_per_atom": -0.7819, "crystal_system": "tetragonal", "polymorph_energy_kcal_per_mol_atoms": 3.20, "cell": [[8.059, 0.000, 0.000], [0.000, 8.059, 0.000], [4.029, 4.029, 4.471]], "species": ["Zn", "Zn", "Sr", "Sr", "Sr", "Sr", "Cl", "Cl"], "fractional_positions": [[0.000, 0.000, 0.000], [0.750, 0.250, 0.500], [0.875, 0.859, 0.750], [0.141, 0.625, 0.250], [0.375, 0.391, 0.750], [0.609, 0.125, 0.250], [0.250, 0.750, 0.500], [0.500, 0.500, 0.000]]}